Entry a
This record from the Alexandria database describes a relaxed SrYAsBr2 crystal. The functional is PBE.

abc: 5.4706 5.4706 6.2119
angles: 90.00 90.00 90.00
Last column: nearest neighbours and their distance in Å.
Atoms (fractional coordinates):
1 Br 0.5000 0.0000 0.0000  2 Sr 2.74
2 Br 0.0000 0.5000 0.0000  2 Sr 2.74
3 Y 0.5000 0.5000 0.5000  4 As 3.87, 8 Br 4.14
4 Sr 0.0000 0.0000 0.0000  4 Br 2.74
5 As 0.0000 0.0000 0.5000  2 Sr 3.11

Summary:
- DOS(E_F) (states/eV/cell) = 1.643
- SG = No. 123

Entry b
This record from the Alexandria database describes a relaxed SrYAsBr2 crystal. The functional is PBE.

abc: 5.4752 5.4752 5.6738
angles: 90.00 90.00 90.00
Last column: nearest neighbours and their distance in Å.
Atoms (fractional coordinates):
1 Br 0.5000 0.0000 0.0000  2 Y 2.74
2 Br 0.0000 0.5000 0.0000  2 Y 2.74
3 As 0.0000 0.0000 0.5000  2 Y 2.84
4 Y 0.0000 0.0000 0.0000  4 Br 2.74, 2 As 2.84
5 Sr 0.5000 0.5000 0.5000  4 As 3.87, 8 Br 3.94

Summary:
- DOS(E_F) (states/eV/cell) = 0.132
- SG = No. 123

On energetic grounds, entry b is preferred over the next structure by 695 meV/atom.